Entry 1:
First-principles (PBE-GGA) data for a geometry-optimized CsSiAs3 structure, as listed in Alexandria.

Unit cell a=5.6461 b=5.6461 c=5.6461 alpha=90.00 beta=90.00 gamma=90.00
Space group Pm-3m (No. 221)
Inequivalent atoms, fractional coordinates:
Cs: 0.0000 0.0000 0.0000 [1 per cell]
Si: 0.5000 0.5000 0.5000 [1 per cell]
As: 0.0000 0.0000 0.5000 [3 per cell]

Calculated values
Magnetic moment, μB per cell: 0.000
Total energy, eV per atom: -1.99
Uncorrected formation energy, meV per atom: 2059
Excess energy over the best structure of this formula in the dataset, meV/atom: 2217

***

Entry 2:
First-principles (PBE-GGA) data for a geometry-optimized Cs2SiAs2 structure, as listed in Alexandria.

Unit cell a=8.1774 b=11.7776 c=3.6164 alpha=90.00 beta=90.00 gamma=90.00
Space group Pbam (No. 55)
Inequivalent atoms, fractional coordinates:
Cs: 0.0703 0.1719 0.0000 [4 per cell]
Si: 0.0000 0.5000 0.0000 [2 per cell]
As: 0.1902 0.4441 0.5000 [4 per cell]

Calculated values
Magnetic moment, μB per cell: 0.070
Total energy, eV per atom: -3.45
Uncorrected formation energy, meV per atom: -163
Excess energy over the best structure of this formula in the dataset, meV/atom: 311

***

Entry 3:
First-principles (PBE-GGA) data for a geometry-optimized Cs2SiAs2 structure, as listed in Alexandria.

Unit cell a=7.7907 b=14.6979 c=6.5181 alpha=90.00 beta=90.00 gamma=90.00
Space group Ibam (No. 72)
Inequivalent atoms, fractional coordinates:
Cs: 0.1715 0.1440 0.0000 [8 per cell]
Si: 0.0000 0.5000 0.2500 [4 per cell]
As: 0.1509 0.4084 0.0000 [8 per cell]

Calculated values
Magnetic moment, μB per cell: 0.000
Total energy, eV per atom: -3.76
Uncorrected formation energy, meV per atom: -474
Excess energy over the best structure of this formula in the dataset, meV/atom: 0

***

Entry 4:
First-principles (PBE-GGA) data for a geometry-optimized CsSi2As2 structure, as listed in Alexandria.

Unit cell a=4.7332 b=4.7332 c=12.5805 alpha=90.00 beta=90.00 gamma=90.00
Space group I4/mmm (No. 139)
Inequivalent atoms, fractional coordinates:
Cs: 0.0000 0.0000 0.0000 [2 per cell]
Si: 0.0000 0.0000 0.3211 [4 per cell]
As: 0.0000 0.5000 0.2500 [4 per cell]

Calculated values
Magnetic moment, μB per cell: 0.000
Total energy, eV per atom: -4.18
Uncorrected formation energy, meV per atom: 23
Excess energy over the best structure of this formula in the dataset, meV/atom: 0

***

Entry 5:
First-principles (PBE-GGA) data for a geometry-optimized CsSiAs3 structure, as listed in Alexandria.

Unit cell a=6.4518 b=7.1505 c=8.9934 alpha=75.79 beta=84.41 gamma=63.26
Space group P1 (No. 1)
Inequivalent atoms, fractional coordinates:
Cs: 0.0000 0.0000 0.0000 [1 per cell]
Cs: 0.4042 0.5878 0.6455 [1 per cell]
Si: 0.2383 0.4156 0.2651 [1 per cell]
Si: 0.6070 0.4092 0.2474 [1 per cell]
As: 0.1477 0.4345 0.0152 [1 per cell]
As: 0.4023 0.1258 0.4877 [1 per cell]
As: 0.5836 0.7584 0.2463 [1 per cell]
As: 0.7267 0.5834 0.0128 [1 per cell]
As: 0.7988 0.0773 0.4390 [1 per cell]
As: 0.9279 0.6720 0.3914 [1 per cell]

Calculated values
Magnetic moment, μB per cell: 0.000
Total energy, eV per atom: -4.20
Uncorrected formation energy, meV per atom: -158
Excess energy over the best structure of this formula in the dataset, meV/atom: 0

***

Entry 6:
First-principles (PBE-GGA) data for a geometry-optimized Cs3SiAs2 structure, as listed in Alexandria.

Unit cell a=8.4986 b=17.4188 c=10.7709 alpha=90.00 beta=90.00 gamma=90.00
Space group Ibam (No. 72)
Inequivalent atoms, fractional coordinates:
Cs: 0.0000 0.0000 0.2500 [4 per cell]
Cs: 0.0000 0.3361 0.2500 [8 per cell]
Si: 0.0000 0.5000 0.0000 [4 per cell]
As: 0.2172 0.4328 0.0000 [8 per cell]

Calculated values
Magnetic moment, μB per cell: 0.000
Total energy, eV per atom: -3.05
Uncorrected formation energy, meV per atom: -171
Excess energy over the best structure of this formula in the dataset, meV/atom: 111

***

Entry 7:
First-principles (PBE-GGA) data for a geometry-optimized CsSi3As structure, as listed in Alexandria.

Unit cell a=5.5374 b=5.5374 c=5.5374 alpha=90.00 beta=90.00 gamma=90.00
Space group Pm-3m (No. 221)
Inequivalent atoms, fractional coordinates:
Cs: 0.0000 0.0000 0.0000 [1 per cell]
Si: 0.0000 0.0000 0.5000 [3 per cell]
As: 0.5000 0.5000 0.5000 [1 per cell]

Calculated values
Magnetic moment, μB per cell: 0.000
Total energy, eV per atom: -1.92
Uncorrected formation energy, meV per atom: 2435
Excess energy over the best structure of this formula in the dataset, meV/atom: 1573

***

Entry 8:
First-principles (PBE-GGA) data for a geometry-optimized CsSiAs3 structure, as listed in Alexandria.

Unit cell a=5.0750 b=5.0750 c=5.0750 alpha=90.00 beta=90.00 gamma=90.00
Space group Pm-3m (No. 221)
Inequivalent atoms, fractional coordinates:
Cs: 0.0000 0.0000 0.0000 [1 per cell]
Si: 0.5000 0.5000 0.5000 [1 per cell]
As: 0.0000 0.5000 0.5000 [3 per cell]

Calculated values
Magnetic moment, μB per cell: 0.000
Total energy, eV per atom: -3.70
Uncorrected formation energy, meV per atom: 346
Excess energy over the best structure of this formula in the dataset, meV/atom: 504